Entry 1:
! InSbCl2 | Alexandria | PBEsol | relaxed; values from VASP
! - energy relative to the lowest polymorph listed for this composition (meV per atom) = 161
! - energy relative to the elements, uncorrected (meV/atom) = -235
! - crystal system = tetragonal
&SYSTEM
  ibrav = 0, nat = 4, ntyp = 3
/
ATOMIC_SPECIES
Cl 35.45 Cl.upf
Sb 121.76 Sb.upf
In 114.82 In.upf
ATOMIC_POSITIONS crystal
Cl 0.0000 0.0000 0.5000
Cl 0.0000 0.5000 0.0000
Sb 0.5000 0.0000 0.0000
In 0.5000 0.5000 0.5000
CELL_PARAMETERS angstrom
4.4130 0.0000 0.0000
0.0000 4.5578 0.0000
0.0000 0.0000 4.5578

Entry 2:
! InSb2Cl | Alexandria | PBEsol | relaxed; values from VASP
! - energy relative to the elements, uncorrected (meV/atom) = -302
! - crystal system = trigonal
&SYSTEM
  ibrav = 0, nat = 4, ntyp = 3
/
ATOMIC_SPECIES
In 114.82 In.upf
Sb 121.76 Sb.upf
Cl 35.45 Cl.upf
ATOMIC_POSITIONS crystal
In 0.7549 0.7549 0.7353
Sb 0.2609 0.2609 0.2173
Sb 0.9952 0.9952 0.0143
Cl 0.4850 0.4850 0.5450
CELL_PARAMETERS angstrom
4.2415 0.0000 0.0000
2.1208 3.6733 0.0000
2.1208 1.2244 7.7149

- energy relative to the elements, uncorrected of number 2 (InSb2Cl)?
  -302 meV/atom

- Look up the energy relative to the elements, uncorrected of the second one.
  -302 meV/atom